Entry 1:
Material: Tl2InGe
Method: DFT, PBE
State: optimized geometry

abc: 4.773 4.773 6.627
angles: 68.89 68.89 60.00
Positions (direct):
Ge (0.669, 0.669, 0.994)
Tl (0.266, 0.266, 0.201)
Tl (0.068, 0.068, 0.796)
In (0.497, 0.497, 0.509)

***

Entry 2:
Material: Tl2InGe
Method: DFT, PBE
State: optimized geometry

abc: 3.315 3.315 11.812
angles: 81.93 81.93 60.00
Positions (direct):
Tl (0.092, 0.092, 0.725)
Tl (0.908, 0.908, 0.275)
Ge (0.500, 0.500, 0.500)
In (0.000, 0.000, 0.000)

***

| no. | spin magnetization (Bohr magnetons per cell) | DFT formation energy (meV per atom) |
| --- | --- | --- |
| 1 | 0.00 | 199 |
| 2 | 0.00 | 172 |